# SCAN CdRe2Ag, single point on PBEsol structure
# Space group: Immm (71)
# Magnetic moment (μB per atom): 0.000
# Crystal system: orthorhombic
data_CdRe2Ag
_symmetry_space_group_name_H-M 'P 1'
_symmetry_Int_Tables_number 1
_cell_length_a 5.473
_cell_length_b 5.473
_cell_length_c 5.473
_cell_angle_alpha 147.07
_cell_angle_beta 133.51
_cell_angle_gamma 58.14
loop_
_symmetry_equiv_pos_as_xyz
'x,y,z'
loop_
_atom_site_label
_atom_site_type_symbol
_atom_site_fract_x
_atom_site_fract_y
_atom_site_fract_z
_atom_site_occupancy
Cd1 Cd 0.000 0.000 0.000 1
Re1 Re 0.252 0.752 0.500 1
Re2 Re 0.748 0.248 0.500 1
Ag1 Ag 0.500 0.500 0.000 1



# SCAN Te5Pt, single point on PBEsol structure
# Space group: Cmmm (65)
# Magnetic moment (μB per atom): 0.000
# Crystal system: orthorhombic
data_Te5Pt
_symmetry_space_group_name_H-M 'P 1'
_symmetry_Int_Tables_number 1
_cell_length_a 7.487
_cell_length_b 7.487
_cell_length_c 5.997
_cell_angle_alpha 90.00
_cell_angle_beta 90.00
_cell_angle_gamma 148.88
loop_
_symmetry_equiv_pos_as_xyz
'x,y,z'
loop_
_atom_site_label
_atom_site_type_symbol
_atom_site_fract_x
_atom_site_fract_y
_atom_site_fract_z
_atom_site_occupancy
Te1 Te 0.000 0.000 0.000 1
Te2 Te 0.345 0.655 0.000 1
Te3 Te 0.379 0.621 0.500 1
Te4 Te 0.621 0.379 0.500 1
Te5 Te 0.655 0.345 0.000 1
Pt1 Pt 0.000 0.000 0.500 1



# SCAN CuPt2W, single point on PBEsol structure
# Space group: Fm-3m (225)
# Magnetic moment (μB per atom): 0.000
# Crystal system: cubic
data_CuPt2W
_symmetry_space_group_name_H-M 'P 1'
_symmetry_Int_Tables_number 1
_cell_length_a 4.354
_cell_length_b 4.354
_cell_length_c 4.354
_cell_angle_alpha 60.00
_cell_angle_beta 60.00
_cell_angle_gamma 60.00
loop_
_symmetry_equiv_pos_as_xyz
'x,y,z'
loop_
_atom_site_label
_atom_site_type_symbol
_atom_site_fract_x
_atom_site_fract_y
_atom_site_fract_z
_atom_site_occupancy
Cu1 Cu 0.000 0.000 0.000 1
Pt1 Pt 0.250 0.250 0.250 1
Pt2 Pt 0.750 0.750 0.750 1
W1 W 0.500 0.500 0.500 1



# SCAN TlCu2HSe2O10, single point on PBEsol structure
# Space group: C2/m (12)
# Magnetic moment (μB per atom): 0.000
# Crystal system: monoclinic
data_TlCu2HSe2O10
_symmetry_space_group_name_H-M 'P 1'
_symmetry_Int_Tables_number 1
_cell_length_a 5.334
_cell_length_b 5.334
_cell_length_c 8.675
_cell_angle_alpha 109.22
_cell_angle_beta 109.22
_cell_angle_gamma 69.56
loop_
_symmetry_equiv_pos_as_xyz
'x,y,z'
loop_
_atom_site_label
_atom_site_type_symbol
_atom_site_fract_x
_atom_site_fract_y
_atom_site_fract_z
_atom_site_occupancy
Tl1 Tl 0.000 0.000 0.000 1
Cu1 Cu 0.000 0.500 0.500 1
Cu2 Cu 0.500 0.000 0.500 1
H1 H 0.000 0.000 0.500 1
Se1 Se 0.451 0.451 0.241 1
Se2 Se 0.549 0.549 0.759 1
O1 O 0.152 0.152 0.545 1
O2 O 0.197 0.656 0.713 1
O3 O 0.338 0.338 0.039 1
O4 O 0.341 0.341 0.357 1
O5 O 0.344 0.803 0.287 1
O6 O 0.656 0.197 0.713 1
O7 O 0.659 0.659 0.643 1
O8 O 0.662 0.662 0.961 1
O9 O 0.803 0.344 0.287 1
O10 O 0.848 0.848 0.455 1



# SCAN ScAu3, single point on PBEsol structure
# Space group: Fm-3m (225)
# Magnetic moment (μB per atom): 0.000
# Crystal system: cubic
data_ScAu3
_symmetry_space_group_name_H-M 'P 1'
_symmetry_Int_Tables_number 1
_cell_length_a 4.634
_cell_length_b 4.634
_cell_length_c 4.634
_cell_angle_alpha 60.00
_cell_angle_beta 60.00
_cell_angle_gamma 60.00
loop_
_symmetry_equiv_pos_as_xyz
'x,y,z'
loop_
_atom_site_label
_atom_site_type_symbol
_atom_site_fract_x
_atom_site_fract_y
_atom_site_fract_z
_atom_site_occupancy
Sc1 Sc 0.000 0.000 0.000 1
Au1 Au 0.250 0.250 0.250 1
Au2 Au 0.500 0.500 0.500 1
Au3 Au 0.750 0.750 0.750 1



# SCAN InRh2Pb, single point on PBEsol structure
# Space group: I-4m2 (119)
# Magnetic moment (μB per atom): 0.000
# Crystal system: tetragonal
data_InRh2Pb
_symmetry_space_group_name_H-M 'P 1'
_symmetry_Int_Tables_number 1
_cell_length_a 5.490
_cell_length_b 5.490
_cell_length_c 5.490
_cell_angle_alpha 139.12
_cell_angle_beta 139.12
_cell_angle_gamma 59.19
loop_
_symmetry_equiv_pos_as_xyz
'x,y,z'
loop_
_atom_site_label
_atom_site_type_symbol
_atom_site_fract_x
_atom_site_fract_y
_atom_site_fract_z
_atom_site_occupancy
In1 In 0.000 0.000 0.000 1
Rh1 Rh 0.250 0.750 0.500 1
Rh2 Rh 0.500 0.500 0.000 1
Pb1 Pb 0.750 0.250 0.500 1



# SCAN BeTlCu2, single point on PBEsol structure
# Space group: Pmm2 (25)
# Magnetic moment (μB per atom): 0.000
# Crystal system: orthorhombic
data_BeTlCu2
_symmetry_space_group_name_H-M 'P 1'
_symmetry_Int_Tables_number 1
_cell_length_a 2.919
_cell_length_b 3.988
_cell_length_c 4.870
_cell_angle_alpha 90.00
_cell_angle_beta 90.00
_cell_angle_gamma 90.00
loop_
_symmetry_equiv_pos_as_xyz
'x,y,z'
loop_
_atom_site_label
_atom_site_type_symbol
_atom_site_fract_x
_atom_site_fract_y
_atom_site_fract_z
_atom_site_occupancy
Be1 Be 0.000 0.000 0.000 1
Tl1 Tl 0.500 0.500 0.748 1
Cu1 Cu 0.000 0.500 0.245 1
Cu2 Cu 0.500 0.000 0.360 1



# SCAN MnWAu2, single point on PBEsol structure
# Space group: Imm2 (44)
# Magnetic moment (μB per atom): 0.403
# Crystal system: orthorhombic
data_MnWAu2
_symmetry_space_group_name_H-M 'P 1'
_symmetry_Int_Tables_number 1
_cell_length_a 5.227
_cell_length_b 5.227
_cell_length_c 5.227
_cell_angle_alpha 146.36
_cell_angle_beta 128.34
_cell_angle_gamma 63.07
loop_
_symmetry_equiv_pos_as_xyz
'x,y,z'
loop_
_atom_site_label
_atom_site_type_symbol
_atom_site_fract_x
_atom_site_fract_y
_atom_site_fract_z
_atom_site_occupancy
Mn1 Mn 0.000 0.000 0.000 1
W1 W 0.191 0.691 0.500 1
Au1 Au 0.471 0.471 0.000 1
Au2 Au 0.753 0.253 0.500 1



# SCAN Mg2AlZn, single point on PBEsol structure
# Space group: R-3m (166)
# Magnetic moment (μB per atom): 0.000
# Crystal system: trigonal
data_Mg2AlZn
_symmetry_space_group_name_H-M 'P 1'
_symmetry_Int_Tables_number 1
_cell_length_a 9.320
_cell_length_b 9.320
_cell_length_c 9.320
_cell_angle_alpha 18.92
_cell_angle_beta 18.92
_cell_angle_gamma 18.92
loop_
_symmetry_equiv_pos_as_xyz
'x,y,z'
loop_
_atom_site_label
_atom_site_type_symbol
_atom_site_fract_x
_atom_site_fract_y
_atom_site_fract_z
_atom_site_occupancy
Mg1 Mg 0.247 0.247 0.247 1
Mg2 Mg 0.753 0.753 0.753 1
Al1 Al 0.000 0.000 0.000 1
Zn1 Zn 0.500 0.500 0.500 1



# SCAN IrRu2, single point on PBEsol structure
# Space group: P-3m1 (164)
# Magnetic moment (μB per atom): 0.000
# Crystal system: trigonal
data_IrRu2
_symmetry_space_group_name_H-M 'P 1'
_symmetry_Int_Tables_number 1
_cell_length_a 2.677
_cell_length_b 2.677
_cell_length_c 6.562
_cell_angle_alpha 90.00
_cell_angle_beta 90.00
_cell_angle_gamma 120.00
loop_
_symmetry_equiv_pos_as_xyz
'x,y,z'
loop_
_atom_site_label
_atom_site_type_symbol
_atom_site_fract_x
_atom_site_fract_y
_atom_site_fract_z
_atom_site_occupancy
Ir1 Ir 0.000 0.000 0.000 1
Ru1 Ru 0.333 0.667 0.662 1
Ru2 Ru 0.667 0.333 0.338 1



# SCAN RbSi3Hg, single point on PBEsol structure
# Space group: Pm-3m (221)
# Magnetic moment (μB per atom): 0.000
# Crystal system: cubic
data_RbSi3Hg
_symmetry_space_group_name_H-M 'P 1'
_symmetry_Int_Tables_number 1
_cell_length_a 5.459
_cell_length_b 5.459
_cell_length_c 5.459
_cell_angle_alpha 90.00
_cell_angle_beta 90.00
_cell_angle_gamma 90.00
loop_
_symmetry_equiv_pos_as_xyz
'x,y,z'
loop_
_atom_site_label
_atom_site_type_symbol
_atom_site_fract_x
_atom_site_fract_y
_atom_site_fract_z
_atom_site_occupancy
Rb1 Rb 0.000 0.000 0.000 1
Si1 Si 0.000 0.000 0.500 1
Si2 Si 0.000 0.500 0.000 1
Si3 Si 0.500 0.000 0.000 1
Hg1 Hg 0.500 0.500 0.500 1



Number 1: E_tot -50.326 eV/atom. Number 2: E_tot -42.932 eV/atom. Number 3: E_tot -56.336 eV/atom. Number 4: E_tot -13.742 eV/atom. Number 5: E_tot -56.151 eV/atom. Number 6: E_tot -44.165 eV/atom. Number 7: E_tot -26.459 eV/atom. Number 8: E_tot -56.246 eV/atom. Number 9: E_tot -7.782 eV/atom. Number 10: E_tot -46.903 eV/atom. Number 11: E_tot -21.372 eV/atom.